# 1
Computed, not measured: a geometry-optimized InCo2Br structure at the PBE-GGA level of DFT.

Output
**Energy above the most stable polymorph in this dataset**: 1.69 eV per formula unit
**Raw total energy**: -3.98 eV per atom

The structure in CIF format:
```
data_InCo2Br
_space_group_name_H-M_alt 'I -4 m 2'
_space_group_IT_number 119
_space_group_name_Hall 'I -4 -2'
_cell_length_a 3.674
_cell_length_b 3.674
_cell_length_c 10.763
_cell_angle_alpha 90.00
_cell_angle_beta 90.00
_cell_angle_gamma 90.00
loop_
_atom_site_label
_atom_site_type_symbol
_atom_site_fract_x
_atom_site_fract_y
_atom_site_fract_z
_atom_site_occupancy
In1 In 0.000 0.000 0.000 1
Co1 Co 0.000 0.000 0.500 1
Co2 Co 0.000 0.500 0.250 1
Br1 Br 0.000 0.500 0.750 1
```


# 2
Computed, not measured: a geometry-optimized KNaCdAu structure at the PBE-GGA level of DFT.

Output
**Energy above the most stable polymorph in this dataset**: 0.40 eV per formula unit
**Energy of formation from the pure elements**: -114 meV per atom
**Raw total energy**: -1.77 eV per atom

The structure in CIF format:
```
data_KNaCdAu
_space_group_name_H-M_alt 'F -4 3 m'
_space_group_IT_number 216
_space_group_name_Hall 'F -4 2 3'
_cell_length_a 7.792
_cell_length_b 7.792
_cell_length_c 7.792
_cell_angle_alpha 90.00
_cell_angle_beta 90.00
_cell_angle_gamma 90.00
loop_
_atom_site_label
_atom_site_type_symbol
_atom_site_fract_x
_atom_site_fract_y
_atom_site_fract_z
_atom_site_occupancy
K1 K 0.000 0.000 0.000 1
Na1 Na 0.000 0.000 0.500 1
Cd1 Cd 0.250 0.250 0.250 1
Au1 Au 0.250 0.250 0.750 1
```


# 3
Computed, not measured: a geometry-optimized KNi3Rh structure at the PBE-GGA level of DFT.

Output
**Energy above the most stable polymorph in this dataset**: 6.46 eV per formula unit
**Energy of formation from the pure elements**: 2198 meV per atom
**Raw total energy**: -2.96 eV per atom

The structure in CIF format:
```
data_KNi3Rh
_space_group_name_H-M_alt 'P m -3 m'
_space_group_IT_number 221
_space_group_name_Hall '-P 4 2 3'
_cell_length_a 4.352
_cell_length_b 4.352
_cell_length_c 4.352
_cell_angle_alpha 90.00
_cell_angle_beta 90.00
_cell_angle_gamma 90.00
loop_
_atom_site_label
_atom_site_type_symbol
_atom_site_fract_x
_atom_site_fract_y
_atom_site_fract_z
_atom_site_occupancy
K1 K 0.000 0.000 0.000 1
Ni1 Ni 0.000 0.000 0.500 1
Rh1 Rh 0.500 0.500 0.500 1
```


# 4
Computed, not measured: a geometry-optimized La3Nd4Tl structure at the PBE-GGA level of DFT.

Output
**Energy of formation from the pure elements**: -84 meV per atom
**Raw total energy**: -4.61 eV per atom

The structure in CIF format:
```
data_La3Nd4Tl
_space_group_name_H-M_alt 'P m n 21'
_space_group_IT_number 31
_space_group_name_Hall 'P 2ac -2'
_cell_length_a 11.671
_cell_length_b 7.298
_cell_length_c 6.382
_cell_angle_alpha 90.00
_cell_angle_beta 90.00
_cell_angle_gamma 90.00
loop_
_atom_site_label
_atom_site_type_symbol
_atom_site_fract_x
_atom_site_fract_y
_atom_site_fract_z
_atom_site_occupancy
La1 La 0.000 0.125 0.000 1
La2 La 0.241 0.112 0.663 1
Nd1 Nd 0.000 0.373 0.462 1
Nd2 Nd 0.000 0.630 0.005 1
Nd3 Nd 0.232 0.631 0.647 1
Tl1 Tl 0.000 0.874 0.483 1
```


# 5
Computed, not measured: a geometry-optimized Tb3SnPt structure at the PBE-GGA level of DFT.

Output
**Energy of formation from the pure elements**: -760 meV per atom
**Raw total energy**: -5.55 eV per atom

The structure in CIF format:
```
data_Tb3SnPt
_space_group_name_H-M_alt 'P -1'
_space_group_IT_number 2
_space_group_name_Hall '-P 1'
_cell_length_a 5.301
_cell_length_b 6.666
_cell_length_c 9.148
_cell_angle_alpha 93.17
_cell_angle_beta 106.69
_cell_angle_gamma 113.18
loop_
_atom_site_label
_atom_site_type_symbol
_atom_site_fract_x
_atom_site_fract_y
_atom_site_fract_z
_atom_site_occupancy
Tb1 Tb 0.034 0.399 0.173 1
Tb2 Tb 0.201 0.322 0.576 1
Tb3 Tb 0.351 0.984 0.220 1
Sn1 Sn 0.341 0.247 0.936 1
Pt1 Pt 0.352 0.740 0.470 1
```


# 6
Computed, not measured: a geometry-optimized SiNi2Se structure at the PBE-GGA level of DFT.

Output
**Energy above the most stable polymorph in this dataset**: 0.32 eV per formula unit
**Raw total energy**: -5.34 eV per atom

The structure in CIF format:
```
data_SiNi2Se
_space_group_name_H-M_alt 'P m m m'
_space_group_IT_number 47
_space_group_name_Hall '-P 2 2'
_cell_length_a 2.768
_cell_length_b 2.880
_cell_length_c 6.850
_cell_angle_alpha 90.00
_cell_angle_beta 90.00
_cell_angle_gamma 90.00
loop_
_atom_site_label
_atom_site_type_symbol
_atom_site_fract_x
_atom_site_fract_y
_atom_site_fract_z
_atom_site_occupancy
Si1 Si 0.000 0.000 0.000 1
Ni1 Ni 0.500 0.500 0.189 1
Se1 Se 0.500 0.000 0.500 1
```


# 7
Computed, not measured: a geometry-optimized Zn3PtO structure at the PBE-GGA level of DFT.

Output
**Energy above the most stable polymorph in this dataset**: 0.00 eV per formula unit
**Raw total energy**: -3.37 eV per atom

The structure in CIF format:
```
data_Zn3PtO
_space_group_name_H-M_alt 'P m -3 m'
_space_group_IT_number 221
_space_group_name_Hall '-P 4 2 3'
_cell_length_a 4.112
_cell_length_b 4.112
_cell_length_c 4.112
_cell_angle_alpha 90.00
_cell_angle_beta 90.00
_cell_angle_gamma 90.00
loop_
_atom_site_label
_atom_site_type_symbol
_atom_site_fract_x
_atom_site_fract_y
_atom_site_fract_z
_atom_site_occupancy
Zn1 Zn 0.000 0.000 0.500 1
Pt1 Pt 0.500 0.500 0.500 1
O1 O 0.000 0.000 0.000 1
```


# 8
Computed, not measured: a geometry-optimized TbZr2Al structure at the PBE-GGA level of DFT.

Output
**Energy above the most stable polymorph in this dataset**: 0.25 eV per formula unit
**Energy of formation from the pure elements**: -124 meV per atom
**Raw total energy**: -6.49 eV per atom

The structure in CIF format:
```
data_TbZr2Al
_space_group_name_H-M_alt 'P 4/m m m'
_space_group_IT_number 123
_space_group_name_Hall '-P 4 2'
_cell_length_a 3.125
_cell_length_b 3.125
_cell_length_c 9.408
_cell_angle_alpha 90.00
_cell_angle_beta 90.00
_cell_angle_gamma 90.00
loop_
_atom_site_label
_atom_site_type_symbol
_atom_site_fract_x
_atom_site_fract_y
_atom_site_fract_z
_atom_site_occupancy
Tb1 Tb 0.000 0.000 0.000 1
Zr1 Zr 0.500 0.500 0.290 1
Al1 Al 0.000 0.000 0.500 1
```